Record 1
VASP calculation (PBE) on crystalline SrFePt2 at its relaxed geometry.

Unit cell a=5.9076 b=5.9076 c=5.9076 alpha=150.30 beta=130.92 gamma=58.43
Each line ends with the local moment (μB).
Atoms (fractional coordinates):
Fe 0.2150 0.7150 0.5000  3.16
Pt 0.0109 0.0109 0.0000  0.16
Pt 0.7747 0.2747 0.5000  0.21
Sr 0.4995 0.4995 0.0000  -0.01

Computed properties:
- calculated formation energy (meV/atom) = -43
- D(E_F) (states/eV/cell) = 3.13


Record 2
VASP calculation (PBE) on crystalline NaCo2Os at its relaxed geometry.

Unit cell a=6.8341 b=6.8341 c=5.5570 alpha=52.05 beta=52.05 gamma=90.00
Each line ends with the local moment (μB).
Atoms (fractional coordinates):
Co 0.6730 0.1250 0.2500  1.16
Co 0.0770 0.6250 0.2500  1.12
Co 0.3750 0.3270 0.7500  1.22
Co 0.8750 0.9230 0.7500  1.19
Os 0.0000 0.0000 0.0000  0.56
Os 0.7500 0.2500 0.5000  0.57
Na 0.5000 0.5000 0.0000  0.00
Na 0.2500 0.7500 0.5000  0.00

Computed properties:
- calculated formation energy (meV/atom) = 1080
- D(E_F) (states/eV/cell) = 7.73
- energy above the most stable polymorph in this dataset (kJ/mol of formula units) = 127


Record 3
VASP calculation (PBE) on crystalline Th2Si3Ni4Pt at its relaxed geometry.

Unit cell a=4.0170 b=4.0170 c=10.0560 alpha=90.00 beta=90.00 gamma=90.00
Atoms (fractional coordinates):
Th 0.5000 0.0000 0.2471
Th 0.0000 0.5000 0.7529
Si 0.0000 0.0000 0.5000
Si 0.5000 0.0000 0.8809
Si 0.0000 0.5000 0.1191
Ni 0.5000 0.5000 0.0000
Ni 0.0000 0.0000 0.0000
Ni 0.5000 0.0000 0.6506
Ni 0.0000 0.5000 0.3494
Pt 0.5000 0.5000 0.5000

Computed properties:
- D(E_F) (states/eV/cell) = 7.62
- total DFT energy (no corrections) (eV/atom) = -6.82


Record 4
VASP calculation (PBE) on crystalline Th2PdI2 at its relaxed geometry.

Unit cell a=4.2628 b=4.2628 c=12.0938 alpha=79.85 beta=79.85 gamma=60.00
Atoms (fractional coordinates):
Th 0.6219 0.6219 0.1343
Th 0.3781 0.3781 0.8657
Pd 0.0000 0.0000 0.0000
I 0.2252 0.2252 0.3245
I 0.7748 0.7748 0.6755

Computed properties:
- D(E_F) (states/eV/cell) = 4.60
- total DFT energy (no corrections) (eV/atom) = -5.52


Record 5
VASP calculation (PBE) on crystalline BaHfSe2Br at its relaxed geometry.

Unit cell a=5.4641 b=5.8025 c=5.4641 alpha=90.00 beta=90.00 gamma=90.00
Each line ends with the local moment (μB).
Atoms (fractional coordinates):
Se 0.0000 0.0000 0.5000  -0.04
Se 0.5000 0.0000 0.0000  -0.03
Hf 0.5000 0.5000 0.5000  0.77
Ba 0.0000 0.5000 0.0000  0.06
Br 0.0000 0.0000 0.0000  0.00

Computed properties:
- D(E_F) (states/eV/cell) = 2.93
- energy above the most stable polymorph in this dataset (kJ/mol of formula units) = 951


Record 6
VASP calculation (PBE) on crystalline ZrMnRh2 at its relaxed geometry.

Unit cell a=3.2027 b=3.3229 c=6.9433 alpha=61.40 beta=90.00 gamma=90.00
Each line ends with the local moment (μB).
Atoms (fractional coordinates):
Mn 0.5000 0.7500 0.7500  3.90
Rh 0.0000 0.0082 0.9919  0.33
Rh 0.0000 0.4918 0.5081  0.33
Zr 0.5000 0.2500 0.2500  0.04

Computed properties:
- calculated formation energy (meV/atom) = -527
- D(E_F) (states/eV/cell) = 2.39


Record 7
VASP calculation (PBE) on crystalline Ba2SrCa4 at its relaxed geometry.

Unit cell a=6.4207 b=6.4207 c=11.0216 alpha=106.93 beta=106.93 gamma=90.00
Each line ends with the local moment (μB).
Atoms (fractional coordinates):
Ba 0.6183 0.6183 0.2366  0.02
Ba 0.3817 0.3817 0.7634  0.02
Sr 0.0000 0.0000 0.0000  0.14
Ca 0.8257 0.8257 0.6515  0.04
Ca 0.1743 0.1743 0.3485  0.04
Ca 0.0000 0.5000 0.0000  0.08
Ca 0.5000 0.0000 0.0000  0.08

Computed properties:
- calculated formation energy (meV/atom) = 473
- D(E_F) (states/eV/cell) = 11.60
- energy above the most stable polymorph in this dataset (kJ/mol of formula units) = 179


Record 8
VASP calculation (PBE) on crystalline Ba4CuSb at its relaxed geometry.

Unit cell a=7.1303 b=7.1303 c=7.1303 alpha=60.00 beta=60.00 gamma=60.00
Atoms (fractional coordinates):
Ba 0.8785 0.3738 0.3738
Ba 0.3738 0.3738 0.8785
Ba 0.3738 0.8785 0.3738
Ba 0.3738 0.3738 0.3738
Cu 0.7500 0.7500 0.7500
Sb 0.0000 0.0000 0.0000

Computed properties:
- D(E_F) (states/eV/cell) = 6.21
- total DFT energy (no corrections) (eV/atom) = -2.28


| no. | magnetic moment (μB/f.u.) |
| --- | --- |
| 1 | 3.528 |
| 2 | 2.984 |
| 3 | 0.000 |
| 4 | 0.000 |
| 5 | 1.167 |
| 6 | 4.812 |
| 7 | 1.611 |
| 8 | 0.001 |